No. 1
# LaPr6NdTm2

An optimized crystal structure of LaPr6NdTm2 (PBE, Alexandria).

Calculated values
DOS(E_F) = 58.43 states/eV per cell
E_form = 0.1070 eV per atom
VASP energy = -46.25 eV/f.u.

a b c (Å): 9.433 15.339 9.870
angles (deg): 90.00 97.96 90.00
Space group C2/c (No. 15)
Unique sites:
La 0.000 0.095 0.250 [4 per cell]
Pr 0.068 0.326 0.443 [8 per cell]
Pr 0.095 0.107 0.620 [8 per cell]
Pr 0.210 0.274 0.819 [8 per cell]
Nd 0.000 0.467 0.750 [4 per cell]
Tm 0.244 0.453 0.049 [8 per cell]

---

No. 2
# AlVAg3

An optimized crystal structure of AlVAg3 (PBE, Alexandria).

Calculated values
DOS(E_F) = 5.66 states/eV per cell
E_form = 1.2108 eV per atom
VASP energy = -15.36 eV/f.u.

a b c (Å): 5.021 5.021 5.021
angles (deg): 90.00 90.00 90.00
Space group Pm-3m (No. 221)
Unique sites:
Al 0.000 0.000 0.000 [1 per cell]
V 0.500 0.500 0.500 [1 per cell]
Ag 0.000 0.500 0.500 [3 per cell]

---

No. 3
# Ac2BiTe4

An optimized crystal structure of Ac2BiTe4 (PBE, Alexandria).

Calculated values
DOS(E_F) = 4.93 states/eV per cell
VASP energy = -31.88 eV/f.u.
raw formation energy = -1.030 eV/atom

a b c (Å): 16.080 5.033 8.353
angles (deg): 90.00 119.86 90.00
Space group C2/m (No. 12)
Unique sites:
Ac 0.230 0.000 0.219 [4 per cell]
Bi 0.000 0.500 0.500 [2 per cell]
Te 0.113 0.500 0.935 [4 per cell]
Te 0.132 0.000 0.492 [4 per cell]

---

No. 4
# TbPuZr2

An optimized crystal structure of TbPuZr2 (PBE, Alexandria).

Calculated values
DOS(E_F) = 11.24 states/eV per cell
E_form = 0.1552 eV per atom
VASP energy = -35.44 eV/f.u.

a b c (Å): 4.635 4.635 4.733
angles (deg): 90.00 90.00 90.00
Space group P4/mmm (No. 123)
Unique sites:
Tb 0.000 0.000 0.000 [1 per cell]
Pu 0.500 0.500 0.000 [1 per cell]
Zr 0.000 0.500 0.500 [2 per cell]

---

No. 5
# V2CuPt2

An optimized crystal structure of V2CuPt2 (PBE, Alexandria).

Calculated values
DOS(E_F) = 19.73 states/eV per cell
E_form = -0.2157 eV per atom
VASP energy = -35.49 eV/f.u.

a b c (Å): 4.045 13.280 5.434
angles (deg): 90.00 90.00 90.00
Space group Cmc2_1 (No. 36)
Unique sites:
V 0.000 0.106 0.000 [4 per cell]
V 0.000 0.301 0.225 [4 per cell]
Cu 0.000 0.099 0.500 [4 per cell]
Pt 0.000 0.300 0.762 [4 per cell]
Pt 0.000 0.493 0.267 [4 per cell]

---

No. 6
# YHo5Sc2

An optimized crystal structure of YHo5Sc2 (PBE, Alexandria).

Calculated values
DOS(E_F) = 58.81 states/eV per cell
E_form = 0.0250 eV per atom
VASP energy = -41.82 eV/f.u.

a b c (Å): 7.082 10.998 12.243
angles (deg): 90.00 90.00 90.00
Space group Fmm2 (No. 42)
Unique sites:
Y 0.000 0.000 0.000 [4 per cell]
Ho 0.000 0.000 0.500 [4 per cell]
Ho 0.250 0.000 0.253 [8 per cell]
Ho 0.250 0.250 0.084 [8 per cell]
Sc 0.000 0.249 0.336 [8 per cell]

---

No. 7
# Ti4Fe

An optimized crystal structure of Ti4Fe (PBE, Alexandria).

Calculated values
DOS(E_F) = 10.64 states/eV per cell
E_form = -0.1254 eV per atom
VASP energy = -40.67 eV/f.u.

a b c (Å): 2.967 2.967 17.599
angles (deg): 90.00 90.00 90.00
Space group I4/mmm (No. 139)
Unique sites:
Ti 0.000 0.000 0.084 [4 per cell]
Ti 0.000 0.000 0.308 [4 per cell]
Fe 0.000 0.000 0.500 [2 per cell]

---

No. 8
# DyEr2PaN4

An optimized crystal structure of DyEr2PaN4 (PBE, Alexandria).

Calculated values
DOS(E_F) = 3.42 states/eV per cell
VASP energy = -70.38 eV/f.u.
raw formation energy = -1.731 eV/atom

a b c (Å): 5.967 3.470 5.974
angles (deg): 90.00 109.21 90.00
Space group P2/m (No. 10)
Unique sites:
Dy 0.000 0.000 0.000 [1 per cell]
Er 0.500 0.000 0.500 [1 per cell]
Er 0.500 0.500 0.000 [1 per cell]
Pa 0.000 0.500 0.500 [1 per cell]
N 0.245 0.500 0.260 [2 per cell]
N 0.247 0.000 0.744 [2 per cell]

---

No. 9
# CeErTh2

An optimized crystal structure of CeErTh2 (PBE, Alexandria).

Calculated values
DOS(E_F) = 6.20 states/eV per cell
E_form = 0.0279 eV per atom
VASP energy = -25.22 eV/f.u.

a b c (Å): 3.528 3.528 9.869
angles (deg): 90.00 90.00 90.00
Space group P4/mmm (No. 123)
Unique sites:
Ce 0.000 0.000 0.000 [1 per cell]
Er 0.000 0.000 0.500 [1 per cell]
Th 0.500 0.500 0.245 [2 per cell]

---

No. 10
# LaPuPb3

An optimized crystal structure of LaPuPb3 (PBE, Alexandria).

Calculated values
DOS(E_F) = 37.24 states/eV per cell
E_form = -0.1718 eV per atom
VASP energy = -31.24 eV/f.u.

a b c (Å): 7.764 13.434 6.195
angles (deg): 90.00 90.00 90.00
Space group Cmcm (No. 63)
Unique sites:
La 0.000 0.166 0.250 [4 per cell]
Pu 0.000 0.500 0.000 [4 per cell]
Pb 0.000 0.299 0.750 [4 per cell]
Pb 0.198 0.100 0.750 [8 per cell]

---

No. 11
# Li6SN

An optimized crystal structure of Li6SN (PBE, Alexandria).

Calculated values
DOS(E_F) = 2.83 states/eV per cell
VASP energy = -28.07 eV/f.u.
raw formation energy = -0.516 eV/atom

a b c (Å): 6.521 3.775 10.729
angles (deg): 90.00 101.96 90.00
Space group C2/m (No. 12)
Unique sites:
Li 0.062 0.000 0.183 [4 per cell]
Li 0.165 0.500 0.995 [4 per cell]
Li 0.194 0.000 0.582 [4 per cell]
S 0.000 0.500 0.500 [2 per cell]
N 0.000 0.000 0.000 [2 per cell]

---

No. 12
# TlCd2Pt

An optimized crystal structure of TlCd2Pt (PBE, Alexandria).

Calculated values
DOS(E_F) = 0.85 states/eV per cell
E_form = -0.0190 eV per atom
VASP energy = -10.31 eV/f.u.

a b c (Å): 3.686 3.686 6.258
angles (deg): 90.00 90.00 90.00
Space group P4mm (No. 99)
Unique sites:
Tl 0.000 0.000 0.000 [1 per cell]
Cd 0.000 0.000 0.537 [1 per cell]
Cd 0.500 0.500 0.281 [1 per cell]
Pt 0.500 0.500 0.742 [1 per cell]

---

No. 13
# AcSm3Ho

An optimized crystal structure of AcSm3Ho (PBE, Alexandria).

Calculated values
DOS(E_F) = 50.94 states/eV per cell
E_form = 0.3809 eV per atom
VASP energy = -20.94 eV/f.u.

a b c (Å): 6.2609 6.2609 34.6211
angles (deg): 90.00 90.00 120.00
Space group R-3 (No. 148, hexagonal axes)
Unique sites:
Ac 0.0000 0.0000 0.1663 [6 per cell]
Sm 0.0025 0.3386 0.7460 [18 per cell]
Ho 0.0000 0.0000 0.3338 [6 per cell]

---

No. 14
# InFeSn2Pb

An optimized crystal structure of InFeSn2Pb (PBE, Alexandria).

Calculated values
DOS(E_F) = 4.80 states/eV per cell
E_form = 0.2096 eV per atom
VASP energy = -21.87 eV/f.u.

a b c (Å): 4.957 4.957 5.159
angles (deg): 90.00 90.00 90.00
Space group P4/mmm (No. 123)
Unique sites:
In 0.000 0.000 0.000 [1 per cell]
Fe 0.000 0.000 0.500 [1 per cell]
Sn 0.000 0.500 0.500 [2 per cell]
Pb 0.500 0.500 0.000 [1 per cell]